Record 1
Sm2GeB2Rh5 | PBE-GGA | relaxed

Output
Energy relative to the elements (kJ/mol of atoms): -69.35

Cell lengths 9.5246, 9.5246, 3.2747 Å; angles 90.00, 90.00, 90.00 degrees
Space group P4/mbm (No. 127)
Inequivalent atoms, fractional coordinates:
Sm  0.1765  0.3235  0.0000
Ge  0.0000  0.0000  0.0000
B  0.1213  0.6213  0.0000
Rh  0.0000  0.5000  0.5000
Rh  0.0692  0.7798  0.5000

Record 2
Sr2TaMo | PBE-GGA | relaxed

Output
E above lowest polymorph (eV per atom): 0.6576
Energy relative to the elements (kJ/mol of atoms): 109.08

Cell lengths 7.3177, 7.3177, 7.3177 Å; angles 90.00, 90.00, 90.00 degrees
Space group F-43m (No. 216)
Inequivalent atoms, fractional coordinates:
Sr  0.0000  0.0000  0.0000
Sr  0.2500  0.2500  0.2500
Ta  0.0000  0.0000  0.5000
Mo  0.2500  0.2500  0.7500

Record 3
Y4Mg3Hg | PBE-GGA | relaxed

Output
Energy relative to the elements (kJ/mol of atoms): -20.37

Cell lengths 3.7963, 3.7963, 14.9982 Å; angles 90.00, 90.00, 90.00 degrees
Space group P4/mmm (No. 123)
Inequivalent atoms, fractional coordinates:
Y  0.0000  0.0000  0.1208
Y  0.0000  0.0000  0.3728
Mg  0.5000  0.5000  0.2493
Mg  0.5000  0.5000  0.5000
Hg  0.5000  0.5000  0.0000

Record 4
AlHgSe | PBE-GGA | relaxed

Output
E above lowest polymorph (eV per atom): 0.3196
Raw formation energy (kJ/mol of formula units): -29

Cell lengths 3.7662, 6.4952, 12.3390 Å; angles 90.00, 90.00, 90.00 degrees
Space group Fmm2 (No. 42)
Inequivalent atoms, fractional coordinates:
Al  0.0000  0.0000  0.0000
Hg  0.0000  0.0000  0.3328
Se  0.0000  0.0000  0.6228

Record 5
CaSiTc | PBE-GGA | relaxed

Output
E above lowest polymorph (eV per atom): 0.2321
Raw formation energy (kJ/mol of formula units): -47

Cell lengths 4.1494, 4.1494, 4.1146 Å; angles 90.00, 90.00, 120.00 degrees
Space group P-6m2 (No. 187)
Inequivalent atoms, fractional coordinates:
Ca  0.0000  0.0000  0.0000
Si  0.6667  0.3333  0.5000
Tc  0.3333  0.6667  0.5000

Record 6
ZnNiIrW | PBE-GGA | relaxed

Output
Energy relative to the elements (kJ/mol of atoms): -2.08

Cell lengths 6.0824, 6.0824, 6.0824 Å; angles 90.00, 90.00, 90.00 degrees
Space group F-43m (No. 216)
Inequivalent atoms, fractional coordinates:
Zn  0.0000  0.0000  0.0000
Ni  0.2500  0.2500  0.2500
Ir  0.2500  0.2500  0.7500
W  0.0000  0.0000  0.5000

Record 7
TlSnPb2 | PBE-GGA | relaxed

Output
E above lowest polymorph (eV per atom): 0.0239
Energy relative to the elements (kJ/mol of atoms): 2.44

Cell lengths 4.9757, 4.9757, 4.9029 Å; angles 90.00, 90.00, 90.00 degrees
Space group P4/mmm (No. 123)
Inequivalent atoms, fractional coordinates:
Tl  0.0000  0.0000  0.0000
Sn  0.5000  0.5000  0.0000
Pb  0.0000  0.5000  0.5000

Record 8
Ac3Mg2Ge2Pt4 | PBE-GGA | relaxed

Output
Energy relative to the elements (kJ/mol of atoms): -90.26

Cell lengths 4.4363, 4.4363, 15.9771 Å; angles 90.00, 90.00, 120.00 degrees
Space group P-3m1 (No. 164)
Inequivalent atoms, fractional coordinates:
Ac  0.0000  0.0000  0.0000
Ac  0.0000  0.0000  0.2732
Mg  0.3333  0.6667  0.5566
Ge  0.3333  0.6667  0.1349
Pt  0.3333  0.6667  0.3867
Pt  0.3333  0.6667  0.8593

Number 1: total magnetization 0.000 μB per atom. Number 2: total magnetization 0.001 μB per atom. Number 3: total magnetization 0.000 μB per atom. Number 4: total magnetization 0.000 μB per atom. Number 5: total magnetization 0.000 μB per atom. Number 6: total magnetization 0.170 μB per atom. Number 7: total magnetization 0.000 μB per atom. Number 8: total magnetization 0.000 μB per atom.